Entry 1:
First-principles (meta-GGA SCAN) data for a PBEsol-optimized structure of CrRu3, as listed in the Alexandria database.

```
4
Lattice="2.661 0.000 0.000 -1.331 2.305 0.000 0.000 0.000 8.370" Properties=species:S:1:pos:R:3 pbc="T T T"
Ru 1.331 0.768 2.037
Ru 1.331 0.768 6.333
Ru 0.000 0.000 4.185
Cr 0.000 0.000 0.000
```

V: 51.3 Å³/f.u.
Formation energy from the elements: 0.074 eV/atom
Crystal system: hexagonal
Total magnetic moment: 0.000 μB per atom
Total DFT energy (no corrections): -30.642 eV per atom

=====

Entry 2:
First-principles (meta-GGA SCAN) data for a PBEsol-optimized structure of AuIBr2, as listed in the Alexandria database.

```
4
Lattice="-0.508 3.140 -2.644 -2.427 -0.462 -3.317 -7.604 3.585 2.485" Properties=species:S:1:pos:R:3 pbc="T T T"
Br -5.109 3.562 -4.493
Au -5.270 3.132 -1.738
I 0.000 0.000 0.000
Br -5.430 2.702 1.018
```

Raw formation energy: 0.1234 eV/atom
V: 125.0 Å³/f.u.
Crystal system: trigonal
Total magnetic moment: 0.000 μB per atom
Total DFT energy (no corrections): -36.081 eV per atom